No. 1
This record from Alexandria describes Er5CdAg4 after structural relaxation. The functional is PBE-GGA.

Cell and atoms, written as CIF:
```
data_Er5CdAg4
_cell_length_a 3.6099
_cell_length_b 3.6099
_cell_length_c 18.2480
_cell_angle_alpha 90.00
_cell_angle_beta 90.00
_cell_angle_gamma 90.00
_space_group_name_H-M_alt 'P 4/m m m'
_space_group_IT_number 123
_space_group_name_Hall '-P 4 2'
loop_
_atom_site_label
_atom_site_fract_x
_atom_site_fract_y
_atom_site_fract_z
Er1 0.0000 0.0000 0.0000
Er2 0.0000 0.0000 0.1982
Er3 0.0000 0.0000 0.3949
Cd1 0.5000 0.5000 0.5000
Ag1 0.5000 0.5000 0.0988
Ag2 0.5000 0.5000 0.2977
```

M_tot, μB per atom: 0.0000
Formation energy, eV/atom: -0.33
DFT total energy, eV per atom: -3.844

No. 2
This record from Alexandria describes MnSe7 after structural relaxation. The functional is PBE-GGA.

Cell and atoms, written as CIF:
```
data_MnSe7
_cell_length_a 8.6646
_cell_length_b 8.6646
_cell_length_c 8.6646
_cell_angle_alpha 90.00
_cell_angle_beta 90.00
_cell_angle_gamma 90.00
_space_group_name_H-M_alt 'F m -3 m'
_space_group_IT_number 225
_space_group_name_Hall '-F 4 2 3'
loop_
_atom_site_label
_atom_site_fract_x
_atom_site_fract_y
_atom_site_fract_z
Mn1 0.0000 0.0000 0.0000
Se1 0.0000 0.0000 0.5000
Se2 0.0000 0.2500 0.2500
```

M_tot, μB per atom: 0.6015
DFT total energy, eV per atom: -3.604

No. 3
This record from Alexandria describes PmSmC after structural relaxation. The functional is PBE-GGA.

Cell and atoms, written as CIF:
```
data_PmSmC
_cell_length_a 3.6455
_cell_length_b 3.6455
_cell_length_c 6.5744
_cell_angle_alpha 90.00
_cell_angle_beta 90.00
_cell_angle_gamma 120.00
_space_group_name_H-M_alt 'P 3 m 1'
_space_group_IT_number 156
_space_group_name_Hall 'P 3 -2"'
loop_
_atom_site_label
_atom_site_fract_x
_atom_site_fract_y
_atom_site_fract_z
Pm1 0.0000 0.0000 0.0000
Sm1 0.3333 0.6667 0.4252
C1 0.6667 0.3333 0.2149
```

M_tot, μB per atom: 0.0002
ΔE to the lowest computed polymorph, meV/atom: 6.9
Formation energy, eV/atom: -0.14
DFT total energy, eV per atom: -6.376

No. 4
This record from Alexandria describes ScTe2As after structural relaxation. The functional is PBE-GGA.

Cell and atoms, written as CIF:
```
data_ScTe2As
_cell_length_a 4.1142
_cell_length_b 4.1165
_cell_length_c 14.2074
_cell_angle_alpha 90.00
_cell_angle_beta 90.00
_cell_angle_gamma 90.00
_space_group_name_H-M_alt 'I m m m'
_space_group_IT_number 71
_space_group_name_Hall '-I 2 2'
loop_
_atom_site_label
_atom_site_fract_x
_atom_site_fract_y
_atom_site_fract_z
Sc1 0.0000 0.0000 0.0000
Te1 0.0000 0.5000 0.1489
As1 0.0000 0.0000 0.5000
```

M_tot, μB per atom: 0.0000
DFT total energy, eV per atom: -4.922

No. 5
This record from Alexandria describes CuP2Ru2 after structural relaxation. The functional is PBE-GGA.

Cell and atoms, written as CIF:
```
data_CuP2Ru2
_cell_length_a 3.5837
_cell_length_b 3.5837
_cell_length_c 11.2321
_cell_angle_alpha 90.00
_cell_angle_beta 90.00
_cell_angle_gamma 90.00
_space_group_name_H-M_alt 'I 4/m m m'
_space_group_IT_number 139
_space_group_name_Hall '-I 4 2'
loop_
_atom_site_label
_atom_site_fract_x
_atom_site_fract_y
_atom_site_fract_z
Cu1 0.0000 0.0000 0.0000
P1 0.0000 0.5000 0.2500
Ru1 0.0000 0.0000 0.3792
```

M_tot, μB per atom: 0.0000
ΔE to the lowest computed polymorph, meV/atom: 39.0
Formation energy, eV/atom: -0.14
DFT total energy, eV per atom: -6.829

No. 6
This record from Alexandria describes BeAsCCl after structural relaxation. The functional is PBE-GGA.

Cell and atoms, written as CIF:
```
data_BeAsCCl
_cell_length_a 2.8270
_cell_length_b 2.8298
_cell_length_c 8.5212
_cell_angle_alpha 90.17
_cell_angle_beta 92.39
_cell_angle_gamma 109.19
_space_group_name_H-M_alt 'P 1'
_space_group_IT_number 1
_space_group_name_Hall 'P 1'
loop_
_atom_site_label
_atom_site_fract_x
_atom_site_fract_y
_atom_site_fract_z
Be1 0.0000 0.0000 0.0000
As1 0.9291 0.0103 0.7275
C1 0.4032 0.6131 0.0851
Cl1 0.4327 0.6229 0.2814
```

M_tot, μB per atom: 0.0000
ΔE to the lowest computed polymorph, meV/atom: 691.0
DFT total energy, eV per atom: -4.280

No. 7
This record from Alexandria describes Mg6ZnRh after structural relaxation. The functional is PBE-GGA.

Cell and atoms, written as CIF:
```
data_Mg6ZnRh
_cell_length_a 4.5690
_cell_length_b 4.5690
_cell_length_c 14.6968
_cell_angle_alpha 90.00
_cell_angle_beta 90.00
_cell_angle_gamma 90.00
_space_group_name_H-M_alt 'I 4/m m m'
_space_group_IT_number 139
_space_group_name_Hall '-I 4 2'
loop_
_atom_site_label
_atom_site_fract_x
_atom_site_fract_y
_atom_site_fract_z
Mg1 0.0000 0.0000 0.2449
Mg2 0.0000 0.5000 0.1051
Zn1 0.0000 0.0000 0.5000
Rh1 0.0000 0.0000 0.0000
```

M_tot, μB per atom: 0.0000
ΔE to the lowest computed polymorph, meV/atom: 0.0
Formation energy, eV/atom: -0.18
DFT total energy, eV per atom: -2.456

No. 8
This record from Alexandria describes Tb16Pr7Er6 after structural relaxation. The functional is PBE-GGA.

Cell and atoms, written as CIF:
```
data_Tb16Pr7Er6
_cell_length_a 15.9132
_cell_length_b 15.9132
_cell_length_c 15.9132
_cell_angle_alpha 90.00
_cell_angle_beta 90.00
_cell_angle_gamma 90.00
_space_group_name_H-M_alt 'F m -3 m'
_space_group_IT_number 225
_space_group_name_Hall '-F 4 2 3'
loop_
_atom_site_label
_atom_site_fract_x
_atom_site_fract_y
_atom_site_fract_z
Tb1 0.1276 0.1276 0.1276
Tb2 0.1504 0.1504 0.3496
Pr1 0.0000 0.0000 0.0000
Pr2 0.0000 0.2500 0.2500
Er1 0.0000 0.0000 0.2601
```

M_tot, μB per atom: 0.0000
Formation energy, eV/atom: 0.26
DFT total energy, eV per atom: -4.389

No. 9
This record from Alexandria describes Nd2HPdPt6 after structural relaxation. The functional is PBE-GGA.

Cell and atoms, written as CIF:
```
data_Nd2HPdPt6
_cell_length_a 5.6124
_cell_length_b 5.6124
_cell_length_c 19.5624
_cell_angle_alpha 90.00
_cell_angle_beta 90.00
_cell_angle_gamma 120.00
_space_group_name_H-M_alt 'R -3 m'
_space_group_IT_number 166
_space_group_name_Hall '-R 3 2"'
loop_
_atom_site_label
_atom_site_fract_x
_atom_site_fract_y
_atom_site_fract_z
Nd1 0.0000 0.0000 0.2129
H1 0.0000 0.0000 0.0000
Pd1 0.0000 0.0000 0.5000
Pt1 0.0042 0.5021 0.2738
```

M_tot, μB per atom: 0.0000
DFT total energy, eV per atom: -6.101

No. 10
This record from Alexandria describes KZnCl2F after structural relaxation. The functional is PBE-GGA.

Cell and atoms, written as CIF:
```
data_KZnCl2F
_cell_length_a 5.0567
_cell_length_b 5.0567
_cell_length_c 4.0519
_cell_angle_alpha 90.00
_cell_angle_beta 90.00
_cell_angle_gamma 90.00
_space_group_name_H-M_alt 'P 4/m m m'
_space_group_IT_number 123
_space_group_name_Hall '-P 4 2'
loop_
_atom_site_label
_atom_site_fract_x
_atom_site_fract_y
_atom_site_fract_z
K1 0.0000 0.0000 0.0000
Zn1 0.5000 0.5000 0.5000
Cl1 0.0000 0.5000 0.5000
F1 0.5000 0.5000 0.0000
```

M_tot, μB per atom: 0.0000
DFT total energy, eV per atom: -3.361

No. 11
This record from Alexandria describes Sm4Ge2I3 after structural relaxation. The functional is PBE-GGA.

Cell and atoms, written as CIF:
```
data_Sm4Ge2I3
_cell_length_a 7.4801
_cell_length_b 4.3183
_cell_length_c 18.9219
_cell_angle_alpha 90.00
_cell_angle_beta 90.03
_cell_angle_gamma 90.00
_space_group_name_H-M_alt 'C 1 2/m 1'
_space_group_IT_number 12
_space_group_name_Hall '-C 2y'
loop_
_atom_site_label
_atom_site_fract_x
_atom_site_fract_y
_atom_site_fract_z
Sm1 0.0013 0.0000 0.2847
Sm2 0.1656 0.5000 0.8801
Ge1 0.1679 0.5000 0.1983
I1 0.0000 0.0000 0.0000
I2 0.1654 0.5000 0.6083
```

M_tot, μB per atom: 0.0000
ΔE to the lowest computed polymorph, meV/atom: 0.0
DFT total energy, eV per atom: -4.776

No. 12
This record from Alexandria describes Bi2SO2 after structural relaxation. The functional is PBE-GGA.

Cell and atoms, written as CIF:
```
data_Bi2SO2
_cell_length_a 3.4907
_cell_length_b 16.2177
_cell_length_c 6.9104
_cell_angle_alpha 90.00
_cell_angle_beta 90.00
_cell_angle_gamma 90.00
_space_group_name_H-M_alt 'C m c 21'
_space_group_IT_number 36
_space_group_name_Hall 'C 2c -2'
loop_
_atom_site_label
_atom_site_fract_x
_atom_site_fract_y
_atom_site_fract_z
Bi1 0.0000 0.0458 0.0000
Bi2 0.0000 0.2466 0.7247
S1 0.0000 0.1382 0.3401
O1 0.0000 0.3211 0.4288
O2 0.0000 0.4910 0.1483
```

M_tot, μB per atom: 0.0000
DFT total energy, eV per atom: -5.059